This record from Alexandria describes HoCr2BiO6 after structural relaxation. The functional is GGA+U.

a b c (Å): 5.568 5.568 5.568
angles (deg): 59.52 59.52 59.52
Element x y z (fractional)
Ho1 0.000 0.000 0.000
Cr1 0.277 0.277 0.277
Cr2 0.777 0.777 0.777
Bi1 0.503 0.503 0.503
O1 0.054 0.630 0.428
O2 0.110 0.555 0.948
O3 0.428 0.054 0.630
O4 0.555 0.948 0.110
O5 0.630 0.428 0.054
O6 0.948 0.110 0.555

Values from the calculation:
The value obtained for the uncorrected energy is -74.845 eV per cell. The calculation puts the calculated volume at 121 Å³ per cell.